No. 1
Ho2PbS4 | meta-GGA SCAN | PBEsol geometry

The calculation puts the raw formation energy at -12.93 eV/f.u. The electronic total energy comes out at -32.171 eV/atom. The volume comes out at 23.51 A^3/atom. As for the distance to the lowest polymorph of the same formula: 0 meV per atom.

a = 7.8224 Å, b = 11.9107 Å, c = 14.6598 Å
α = 90.00°, β = 105.47°, γ = 90.00°
Closest atoms and distances in Å follow each position.
Sites, in units of the cell vectors:
1 Ho 0.4300 0.7845 0.3597  6 S 2.67-2.72
2 Ho 0.9298 0.7845 0.3597  6 S 2.67-2.72
3 Ho 0.5700 0.2845 0.6403  6 S 2.67-2.72
4 Ho 0.0702 0.2845 0.6403  6 S 2.67-2.72
5 Ho 0.0682 0.9128 0.1363  6 S 2.67-2.73
6 Ho 0.9318 0.4128 0.8637  6 S 2.67-2.73
7 Ho 0.5686 0.9194 0.1373  6 S 2.67-2.72
8 Ho 0.4314 0.4194 0.8627  6 S 2.67-2.72
9 Ho 0.1756 0.4339 0.3513  6 S 2.65-2.72
10 Ho 0.8244 0.9339 0.6487  6 S 2.65-2.72
11 Ho 0.6750 0.4354 0.3501  6 S 2.65-2.72
12 Ho 0.3250 0.9354 0.6499  6 S 2.65-2.72
13 Ho 0.3278 0.2672 0.1556  6 S 2.66-2.71
14 Ho 0.8278 0.2672 0.1556  6 S 2.66-2.71
15 Ho 0.6722 0.7672 0.8444  6 S 2.66-2.71
16 Ho 0.1722 0.7672 0.8444  6 S 2.66-2.71
17 Pb 0.0461 0.5688 0.0923  5 S 2.89-3.10
18 Pb 0.9539 0.0688 0.9077  5 S 2.89-3.10
19 Pb 0.5385 0.6150 0.0771  5 S 2.88-3.03
20 Pb 0.4615 0.1150 0.9229  5 S 2.88-3.03
21 Pb 0.4586 0.0970 0.4174  7 S 2.97-3.12
22 Pb 0.9588 0.0970 0.4174  7 S 2.97-3.12
23 Pb 0.5414 0.5970 0.5826  7 S 2.97-3.12
24 Pb 0.0412 0.5970 0.5826  7 S 2.97-3.12
25 S 0.1415 0.2225 0.2829  3 Ho 2.70-2.71
26 S 0.8585 0.7225 0.7171  3 Ho 2.70-2.71
27 S 0.3620 0.4804 0.2236  3 Ho 2.70-2.72, 1 Pb 2.89
28 S 0.8616 0.4804 0.2236  3 Ho 2.70-2.72, 1 Pb 2.89
29 S 0.6380 0.9804 0.7764  3 Ho 2.70-2.72, 1 Pb 2.89
30 S 0.1384 0.9804 0.7764  3 Ho 2.70-2.72, 1 Pb 2.89
31 S 0.6413 0.2236 0.2825  3 Ho 2.70
32 S 0.3587 0.7236 0.7175  3 Ho 2.70
33 S 0.5169 0.3179 0.0339  3 Ho 2.67-2.70, 1 Pb 2.88
34 S 0.4831 0.8179 0.9661  3 Ho 2.67-2.70, 1 Pb 2.88
35 S 0.2871 0.0585 0.0787  3 Ho 2.71-2.73
36 S 0.7916 0.0585 0.0787  3 Ho 2.71-2.73
37 S 0.7129 0.5585 0.9213  3 Ho 2.71-2.73
38 S 0.2084 0.5585 0.9213  3 Ho 2.71-2.73
39 S 0.3375 0.7649 0.1718  3 Ho 2.67-2.72, 1 Pb 2.96
40 S 0.8343 0.7649 0.1718  3 Ho 2.67-2.72, 1 Pb 2.96
41 S 0.6625 0.2649 0.8282  3 Ho 2.67-2.72, 1 Pb 2.96
42 S 0.1657 0.2649 0.8282  3 Ho 2.67-2.72, 1 Pb 2.96
43 S 0.0204 0.3341 0.0408  3 Ho 2.66-2.67, 1 Pb 2.89
44 S 0.9796 0.8341 0.9592  3 Ho 2.66-2.67, 1 Pb 2.89
45 S 0.7115 0.6466 0.4230  3 Ho 2.71-2.72
46 S 0.2885 0.1466 0.5770  3 Ho 2.71-2.72
47 S 0.4867 0.3863 0.4708  3 Ho 2.65-2.68, 1 Pb 2.97
48 S 0.9841 0.3863 0.4708  3 Ho 2.65-2.68, 1 Pb 2.97
49 S 0.5133 0.8863 0.5292  3 Ho 2.65-2.68, 1 Pb 2.97
50 S 0.0159 0.8863 0.5292  3 Ho 2.65-2.68, 1 Pb 2.97
51 S 0.6628 0.9384 0.3255  3 Ho 2.67-2.72
52 S 0.3372 0.4384 0.6745  3 Ho 2.67-2.72
53 S 0.1622 0.9373 0.3244  3 Ho 2.67-2.72
54 S 0.8378 0.4373 0.6756  3 Ho 2.67-2.72
55 S 0.2113 0.6461 0.4226  3 Ho 2.71-2.72
56 S 0.7887 0.1461 0.5774  3 Ho 2.71-2.72

No. 2
ScRu2 | meta-GGA SCAN | PBEsol geometry

Its formation energy from the elements is -0.37 eV/f.u. The electronic total energy comes out at -28.086 eV/atom. The volume comes out at 15.55 A^3/atom.

a = 2.8349 Å, b = 4.3585 Å, c = 4.3585 Å
α = 120.00°, β = 90.00°, γ = 90.00°
Closest atoms and distances in Å follow each position.
Sites, in units of the cell vectors:
1 Ru 0.5000 0.6667 0.3333  3 Ru 2.52
2 Ru 0.5000 0.3333 0.6667  3 Ru 2.52
3 Sc 0.0000 0.0000 0.0000  2 Sc 2.83, 12 Ru 2.89